Record 1
# Ca2SiPb, relaxed, DFT PBE
# Energy relative to the elements, uncorrected = -0.300 eV/atom
data_Ca2SiPb
_chemical_formula_sum 'Ca4 Si2 Pb2'
_symmetry_space_group_name_H-M 'I m m 2'
_symmetry_Int_Tables_number 44
_cell_length_a 4.045
_cell_length_b 4.849
_cell_length_c 11.245
_cell_angle_alpha 90.00
_cell_angle_beta 90.00
_cell_angle_gamma 90.00
loop_
_symmetry_equiv_pos_as_xyz
'x,y,z'
'-x,-y,z'
'-x,y,z'
'x,-y,z'
'x+1/2,y+1/2,z+1/2'
'-x+1/2,-y+1/2,z+1/2'
'-x+1/2,y+1/2,z+1/2'
'x+1/2,-y+1/2,z+1/2'
loop_
_atom_site_label
_atom_site_type_symbol
_atom_site_fract_x
_atom_site_fract_y
_atom_site_fract_z
_atom_site_occupancy
Ca1 Ca 0.000 0.000 0.000 1
Ca2 Ca 0.000 0.500 0.234 1
Si1 Si 0.000 0.500 0.765 1
Pb1 Pb 0.000 0.000 0.445 1

---

Record 2
# Ca2SiPb, relaxed, DFT PBE
# Energy relative to the elements, uncorrected = -0.068 eV/atom
data_Ca2SiPb
_chemical_formula_sum 'Ca2 Si1 Pb1'
_symmetry_space_group_name_H-M 'P 4 m m'
_symmetry_Int_Tables_number 99
_cell_length_a 3.799
_cell_length_b 3.799
_cell_length_c 8.335
_cell_angle_alpha 90.00
_cell_angle_beta 90.00
_cell_angle_gamma 90.00
loop_
_symmetry_equiv_pos_as_xyz
'x,y,z'
'-y,x,z'
'-x,-y,z'
'y,-x,z'
'-x,y,z'
'y,x,z'
'x,-y,z'
'-y,-x,z'
loop_
_atom_site_label
_atom_site_type_symbol
_atom_site_fract_x
_atom_site_fract_y
_atom_site_fract_z
_atom_site_occupancy
Ca1 Ca 0.000 0.000 0.000 1
Ca2 Ca 0.500 0.500 0.362 1
Si1 Si 0.500 0.500 0.768 1
Pb1 Pb 0.000 0.000 0.617 1

---

Record 3
# Ca2SiPb, relaxed, DFT PBE
# Energy relative to the elements, uncorrected = -0.256 eV/atom
data_Ca2SiPb
_chemical_formula_sum 'Ca6 Si3 Pb3'
_symmetry_space_group_name_H-M 'R -3 m'
_symmetry_Int_Tables_number 166
_symmetry_space_group_name_Hall '-R 3 2"'
_cell_length_a 3.7486
_cell_length_b 3.7486
_cell_length_c 28.4681
_cell_angle_alpha 90.00
_cell_angle_beta 90.00
_cell_angle_gamma 120.00
loop_
_atom_site_label
_atom_site_type_symbol
_atom_site_fract_x
_atom_site_fract_y
_atom_site_fract_z
_atom_site_occupancy
Ca1 Ca 0.0000 0.0000 0.2389 1
Si1 Si 0.0000 0.0000 0.5000 1
Pb1 Pb 0.0000 0.0000 0.0000 1

---

Record 4
# CaSi2Pb2, relaxed, DFT PBE
# Energy relative to the elements, uncorrected = 0.094 eV/atom
data_CaSi2Pb2
_chemical_formula_sum 'Ca2 Si4 Pb4'
_symmetry_space_group_name_H-M 'I 4/m m m'
_symmetry_Int_Tables_number 139
_symmetry_space_group_name_Hall '-I 4 2'
_cell_length_a 3.517
_cell_length_b 3.517
_cell_length_c 20.398
_cell_angle_alpha 90.00
_cell_angle_beta 90.00
_cell_angle_gamma 90.00
loop_
_atom_site_label
_atom_site_type_symbol
_atom_site_fract_x
_atom_site_fract_y
_atom_site_fract_z
_atom_site_occupancy
Ca1 Ca 0.000 0.000 0.000 1
Si1 Si 0.000 0.500 0.250 1
Pb1 Pb 0.000 0.000 0.383 1

---

Record 5
# CaSiPb2, relaxed, DFT PBE
# Energy relative to the elements, uncorrected = 0.049 eV/atom
data_CaSiPb2
_chemical_formula_sum 'Ca3 Si3 Pb6'
_symmetry_space_group_name_H-M 'R 3 m'
_symmetry_Int_Tables_number 160
_symmetry_space_group_name_Hall 'R 3 -2"'
_cell_length_a 3.9657
_cell_length_b 3.9657
_cell_length_c 26.4811
_cell_angle_alpha 90.00
_cell_angle_beta 90.00
_cell_angle_gamma 120.00
loop_
_atom_site_label
_atom_site_type_symbol
_atom_site_fract_x
_atom_site_fract_y
_atom_site_fract_z
_atom_site_occupancy
Ca1 Ca 0.0000 0.0000 0.0000 1
Si1 Si 0.0000 0.0000 0.2605 1
Pb1 Pb 0.0000 0.0000 0.5344 1
Pb2 Pb 0.0000 0.0000 0.7669 1

---

Record 6
# Ca2SiPb, relaxed, DFT PBE
# Energy relative to the elements, uncorrected = -0.317 eV/atom
data_Ca2SiPb
_chemical_formula_sum 'Ca8 Si4 Pb4'
_symmetry_space_group_name_H-M 'F m -3 m'
_symmetry_Int_Tables_number 225
_symmetry_space_group_name_Hall '-F 4 2 3'
_cell_length_a 7.551
_cell_length_b 7.551
_cell_length_c 7.551
_cell_angle_alpha 90.00
_cell_angle_beta 90.00
_cell_angle_gamma 90.00
loop_
_atom_site_label
_atom_site_type_symbol
_atom_site_fract_x
_atom_site_fract_y
_atom_site_fract_z
_atom_site_occupancy
Ca1 Ca 0.250 0.250 0.250 1
Si1 Si 0.000 0.000 0.000 1
Pb1 Pb 0.000 0.000 0.500 1

---

Record 7
# CaZrSi2Pb, relaxed, DFT PBE
# Energy relative to the elements, uncorrected = 1.292 eV/atom
data_CaZrSi2Pb
_chemical_formula_sum 'Ca1 Zr1 Si2 Pb1'
_symmetry_space_group_name_H-M 'P 4/m m m'
_symmetry_Int_Tables_number 123
_symmetry_space_group_name_Hall '-P 4 2'
_cell_length_a 5.217
_cell_length_b 5.217
_cell_length_c 5.102
_cell_angle_alpha 90.00
_cell_angle_beta 90.00
_cell_angle_gamma 90.00
loop_
_atom_site_label
_atom_site_type_symbol
_atom_site_fract_x
_atom_site_fract_y
_atom_site_fract_z
_atom_site_occupancy
Ca1 Ca 0.000 0.000 0.000 1
Zr1 Zr 0.000 0.000 0.500 1
Si1 Si 0.000 0.500 0.000 1
Pb1 Pb 0.500 0.500 0.500 1

---

Record 8
# CaSm2Pb3, relaxed, DFT PBE
# ΔH_f (0 K) = -504 meV/atom
data_CaSm2Pb3
_chemical_formula_sum 'Ca1 Sm2 Pb3'
_symmetry_space_group_name_H-M 'P 4/m m m'
_symmetry_Int_Tables_number 123
_symmetry_space_group_name_Hall '-P 4 2'
_cell_length_a 3.588
_cell_length_b 3.588
_cell_length_c 13.770
_cell_angle_alpha 90.00
_cell_angle_beta 90.00
_cell_angle_gamma 90.00
loop_
_atom_site_label
_atom_site_type_symbol
_atom_site_fract_x
_atom_site_fract_y
_atom_site_fract_z
_atom_site_occupancy
Ca1 Ca 0.000 0.000 0.000 1
Sm1 Sm 0.000 0.000 0.334 1
Pb1 Pb 0.500 0.500 0.167 1
Pb2 Pb 0.500 0.500 0.500 1